[1]
DFT (PBE-GGA) results for a relaxed structure of BaCdSnH.

Computed properties:
- DFT total energy: -2.90 eV per atom
- DOS(E_F): 1.54 states/eV/f.u.
- ρ: 6.2 g/cm³

Cell lengths 5.1417, 5.1417, 4.2904 Å; angles 90.00, 90.00, 120.00 degrees
Space group P-6m2 (No. 187)
Asymmetric unit:
Ba 0.0000 0.0000 0.0000
Cd 0.3333 0.6667 0.5000
Sn 0.6667 0.3333 0.5000
H 0.3333 0.6667 0.0000

---

[2]
DFT (PBE-GGA) results for a relaxed structure of BaSrCd2H8.

Computed properties:
- DFT total energy: -2.86 eV per atom
- DOS(E_F): 0.00 states/eV/f.u.
- ρ: 3.7 g/cm³

Cell lengths 5.2857, 5.2857, 8.4397 Å; angles 90.00, 90.00, 120.00 degrees
Space group P-3 (No. 147)
Asymmetric unit:
Ba 0.0000 0.0000 0.0000
Sr 0.0000 0.0000 0.5000
Cd 0.3333 0.6667 0.7674
H 0.0249 0.3155 0.7104
H 0.3333 0.6667 0.9851

---

[3]
DFT (PBE-GGA) results for a relaxed structure of BaCd2TcH.

Computed properties:
- DFT total energy: -3.13 eV per atom
- DOS(E_F): 2.72 states/eV/f.u.
- ρ: 6.6 g/cm³

Cell lengths 5.5395, 5.5395, 3.8005 Å; angles 90.00, 90.00, 90.00 degrees
Space group P4/mmm (No. 123)
Asymmetric unit:
Ba 0.0000 0.0000 0.0000
Cd 0.0000 0.5000 0.5000
Tc 0.5000 0.5000 0.5000
H 0.5000 0.5000 0.0000

---

[4]
DFT (PBE-GGA) results for a relaxed structure of BaTl2CdH.

Computed properties:
- DFT total energy: -2.28 eV per atom
- DOS(E_F): 2.89 states/eV/f.u.
- ρ: 7.9 g/cm³

Cell lengths 5.2859, 5.2859, 4.9482 Å; angles 90.00, 90.00, 90.00 degrees
Space group P4/mmm (No. 123)
Asymmetric unit:
Ba 0.0000 0.0000 0.0000
Tl 0.0000 0.5000 0.5000
Cd 0.5000 0.5000 0.0000
H 0.0000 0.0000 0.5000

---

[5]
DFT (PBE-GGA) results for a relaxed structure of Ba2ZnCdH.

Computed properties:
- DFT total energy: -2.09 eV per atom
- DOS(E_F): 2.66 states/eV/f.u.
- ΔE to the lowest computed polymorph: 20 meV/atom
- ρ: 5.2 g/cm³

Cell lengths 5.6454, 5.6454, 4.5224 Å; angles 90.00, 90.00, 90.00 degrees
Space group P4/mmm (No. 123)
Asymmetric unit:
Ba 0.0000 0.5000 0.0000
Zn 0.0000 0.0000 0.5000
Cd 0.5000 0.5000 0.5000
H 0.5000 0.5000 0.0000

---

[6]
DFT (PBE-GGA) results for a relaxed structure of BaZnCdH6.

Computed properties:
- DFT total energy: -2.81 eV per atom
- DOS(E_F): 0.00 states/eV/f.u.
- ρ: 4.4 g/cm³

Cell lengths 4.9492, 5.2035, 5.2040 Å; angles 115.32, 94.44, 94.45 degrees
Space group P1 (No. 1)
Asymmetric unit:
Ba 0.0000 0.0000 0.0000
Zn 0.5003 0.3535 0.6455
Cd 0.4997 0.6692 0.3311
H 0.1738 0.5757 0.1325
H 0.2229 0.1457 0.5960
H 0.4396 0.7102 0.7370
H 0.5590 0.2615 0.2880
H 0.7789 0.4043 0.8520
H 0.8268 0.8656 0.4241

---

[7]
DFT (PBE-GGA) results for a relaxed structure of BaZn2CdH8.

Computed properties:
- DFT total energy: -2.73 eV per atom
- ρ: 4.5 g/cm³

Cell lengths 9.3053, 5.1333, 6.6530 Å; angles 90.00, 114.82, 90.00 degrees
Space group C2/m (No. 12)
Asymmetric unit:
Ba 0.0000 0.0000 0.0000
Zn 0.2153 0.0000 0.6643
Cd 0.0000 0.5000 0.5000
H 0.0939 0.5000 0.1831
H 0.1341 0.2511 0.7453
H 0.1708 0.0000 0.4055

---

[8]
DFT (PBE-GGA) results for a relaxed structure of Ba2ZnCdH.

Computed properties:
- DFT total energy: -2.11 eV per atom
- DOS(E_F): 2.32 states/eV/f.u.
- ΔE to the lowest computed polymorph: 0 meV/atom
- ρ: 5.3 g/cm³

Cell lengths 5.6945, 5.6945, 4.3906 Å; angles 90.00, 90.00, 90.00 degrees
Space group P4/mmm (No. 123)
Asymmetric unit:
Ba 0.0000 0.5000 0.0000
Zn 0.0000 0.0000 0.5000
Cd 0.5000 0.5000 0.5000
H 0.0000 0.0000 0.0000

---

Which of these has the highest DFT total energy?
number 5

---

Among the records above, which one has the highest DFT total energy?
number 5